1.
Here is ScCoIr2 after structural relaxation from OQMD via LeMat-Bulk. Energies are from PBE.

Formation enthalpy at 0 K: -14 kJ/mol of atoms
Total magnetization: 2.81 μB/f.u.
Crystal system: cubic
Mass density: 13.48 g/cm3
VASP energy: -7.936 eV/atom

Unit cell a=4.3976 b=4.3976 c=4.3976 alpha=60.00 beta=60.00 gamma=60.00
Closest atoms and distances in Å follow each position.
Fractional coordinates of all 4 atoms:
Co 0.2500 0.2500 0.2500  4 Sc 2.69, 4 Ir 2.69
Ir 0.0000 0.0000 0.0000  4 Ir 2.69, 4 Co 2.69
Ir 0.7500 0.7500 0.7500  4 Sc 2.69, 4 Ir 2.69
Sc 0.5000 0.5000 0.5000  4 Ir 2.69, 4 Co 2.69

=====

2.
Here is ScCoIr2 after structural relaxation from OQMD via LeMat-Bulk. Energies are from PBE.

Formation enthalpy at 0 K: -14 kJ/mol of atoms
Total magnetization: 2.81 μB/f.u.
Crystal system: cubic
Mass density: 13.45 g/cm3
VASP energy: -7.936 eV/atom

Unit cell a=4.4016 b=4.4016 c=4.4016 alpha=60.00 beta=60.00 gamma=60.00
Closest atoms and distances in Å follow each position.
Fractional coordinates of all 4 atoms:
Co 0.7500 0.7500 0.7500  4 Ir 2.70, 4 Sc 2.70
Ir 0.5000 0.5000 0.5000  4 Ir 2.70, 4 Co 2.70
Ir 0.2500 0.2500 0.2500  4 Ir 2.70, 4 Sc 2.70
Sc 0.0000 0.0000 0.0000  4 Ir 2.70, 4 Co 2.70

=====

3.
Here is ScCoSi2Ir after structural relaxation from OQMD via LeMat-Bulk. Energies are from PBE.

Total magnetization: 0.00 μB/f.u.
Crystal system: tetragonal
Mass density: 7.89 g/cm3
VASP energy: -7.507 eV/atom

Unit cell a=5.6128 b=5.6128 c=5.6128 alpha=139.41 beta=139.41 gamma=58.74
Closest atoms and distances in Å follow each position.
Fractional coordinates of all 5 atoms:
Si 0.8696 0.3696 0.5000  2 Ir 2.33, 2 Co 2.33, 1 Si 2.34
Si 0.6304 0.1304 0.5000  2 Co 2.33, 2 Ir 2.33, 1 Si 2.34
Ir 0.5000 0.5000 0.0000  4 Si 2.33
Co 0.0000 0.0000 0.0000  4 Si 2.33
Sc 0.2500 0.7500 0.5000  8 Si 2.99, 4 Co 3.13, 4 Ir 3.13

=====

4.
Here is Sc3Co2Sn3Ir after structural relaxation from OQMD via LeMat-Bulk. Energies are from PBE.

Total magnetization: 0.48 μB/f.u.
Crystal system: hexagonal
Mass density: 8.06 g/cm3
VASP energy: -6.560 eV/atom

Unit cell a=7.3379 b=7.3379 c=3.5391 alpha=90.00 beta=90.00 gamma=120.00
Closest atoms and distances in Å follow each position.
Fractional coordinates of all 9 atoms:
Co 0.3333 0.6667 0.0000  3 Sn 2.65, 6 Sc 2.87
Co 0.6667 0.3333 0.0000  3 Sn 2.65, 6 Sc 2.87
Ir 0.0000 0.0000 0.5000  6 Sn 2.73, 3 Sc 2.90
Sc 0.0000 0.6049 0.5000  4 Co 2.87, 1 Ir 2.90, 6 Sn 2.95-3.13
Sc 0.6049 0.0000 0.5000  4 Co 2.87, 1 Ir 2.90, 6 Sn 2.95-3.13
Sc 0.3951 0.3951 0.5000  4 Co 2.87, 1 Ir 2.90, 6 Sn 2.95-3.13
Sn 0.2825 0.0000 0.0000  2 Co 2.65, 2 Ir 2.73, 2 Sc 2.95
Sn 0.0000 0.2825 0.0000  2 Co 2.65, 2 Ir 2.73, 2 Sc 2.95
Sn 0.7175 0.7175 0.0000  2 Co 2.65, 2 Ir 2.73, 2 Sc 2.95

=====

5.
Here is ScTlCoIr after structural relaxation from OQMD via LeMat-Bulk. Energies are from PBE.

Excess energy over the best structure of this formula in the dataset: 228.5 meV/atom
Total magnetization: 1.88 μB/f.u.
Crystal system: cubic
Mass density: 12.15 g/cm3
VASP energy: -6.095 eV/atom

Unit cell a=4.5909 b=4.5909 c=4.5909 alpha=60.00 beta=60.00 gamma=60.00
Closest atoms and distances in Å follow each position.
Fractional coordinates of all 4 atoms:
Tl 0.0000 0.0000 0.0000  4 Sc 2.81, 4 Co 2.81
Ir 0.5000 0.5000 0.5000  4 Sc 2.81, 4 Co 2.81
Sc 0.2500 0.2500 0.2500  4 Ir 2.81, 4 Tl 2.81
Co 0.7500 0.7500 0.7500  4 Ir 2.81, 4 Tl 2.81

=====

6.
Here is ScTlCoIr after structural relaxation from OQMD via LeMat-Bulk. Energies are from PBE.

Excess energy over the best structure of this formula in the dataset: 0.0 meV/atom
Total magnetization: 0.08 μB/f.u.
Crystal system: cubic
Mass density: 12.61 g/cm3
VASP energy: -6.324 eV/atom

Unit cell a=4.5342 b=4.5342 c=4.5342 alpha=60.00 beta=60.00 gamma=60.00
Closest atoms and distances in Å follow each position.
Fractional coordinates of all 4 atoms:
Tl 0.0000 0.0000 0.0000  4 Co 2.78, 4 Ir 2.78
Sc 0.5000 0.5000 0.5000  4 Ir 2.78, 4 Co 2.78
Co 0.7500 0.7500 0.7500  4 Tl 2.78, 4 Sc 2.78
Ir 0.2500 0.2500 0.2500  4 Sc 2.78, 4 Tl 2.78

=====

7.
Here is CoSiIr after structural relaxation from OQMD via LeMat-Bulk. Energies are from PBE.

Total magnetization: 0.56 μB/f.u.
Crystal system: tetragonal
Mass density: 11.28 g/cm3
VASP energy: -7.469 eV/atom

Unit cell a=3.8412 b=3.8412 c=5.5736 alpha=90.00 beta=90.00 gamma=90.00
Closest atoms and distances in Å follow each position.
Fractional coordinates of all 6 atoms:
Ir 0.5000 0.5000 0.2500  4 Si 2.37
Ir 0.5000 0.5000 0.7500  4 Si 2.37
Co 0.0000 0.0000 0.7500  4 Si 2.37
Co 0.0000 0.0000 0.2500  4 Si 2.37
Si 0.0000 0.5000 0.0000  4 Co 2.37, 4 Ir 2.37
Si 0.5000 0.0000 0.5000  4 Co 2.37, 4 Ir 2.37

=====

8.
Here is Co5Si2Ir after structural relaxation from OQMD via LeMat-Bulk. Energies are from PBE.

Total magnetization: 6.80 μB/f.u.
Crystal system: tetragonal
Mass density: 9.92 g/cm3
VASP energy: -7.141 eV/atom

Unit cell a=4.0037 b=4.0037 c=5.6696 alpha=90.00 beta=90.00 gamma=90.00
Closest atoms and distances in Å follow each position.
Fractional coordinates of all 8 atoms:
Ir 0.5000 0.5000 0.0000  4 Si 2.48, 4 Co 2.53
Co 0.5000 0.0000 0.2718  6 Co 2.38-2.53, 2 Ir 2.53, 1 Si 2.66
Co 0.5000 0.5000 0.5000  4 Co 2.38, 4 Si 2.42
Co 0.0000 0.0000 0.5000  4 Co 2.38, 4 Si 2.42
Co 0.0000 0.5000 0.7282  6 Co 2.38-2.53, 2 Ir 2.53, 1 Si 2.66
Co 0.0000 0.0000 0.0000  4 Si 2.48, 4 Co 2.53
Si 0.0000 0.5000 0.2594  7 Co 2.42-2.66, 2 Ir 2.48
Si 0.5000 0.0000 0.7406  7 Co 2.42-2.66, 2 Ir 2.48

=====

9.
Here is Co3Si2Ir after structural relaxation from OQMD via LeMat-Bulk. Energies are from PBE.

Total magnetization: 0.97 μB/f.u.
Crystal system: tetragonal
Mass density: 9.10 g/cm3
VASP energy: -7.117 eV/atom

Unit cell a=3.7977 b=3.7977 c=5.3790 alpha=90.00 beta=90.00 gamma=90.00
Closest atoms and distances in Å follow each position.
Fractional coordinates of all 6 atoms:
Ir 0.5000 0.5000 0.0000  4 Si 2.37
Si 0.0000 0.5000 0.7378  6 Co 2.29-2.37, 2 Ir 2.37
Si 0.5000 0.0000 0.2622  6 Co 2.29-2.37, 2 Ir 2.37
Co 0.0000 0.0000 0.0000  4 Si 2.37
Co 0.5000 0.5000 0.5000  4 Si 2.29
Co 0.0000 0.0000 0.5000  4 Si 2.29

=====

10.
Here is CoSi2Ir3 after structural relaxation from OQMD via LeMat-Bulk. Energies are from PBE.

Total magnetization: 0.61 μB/f.u.
Crystal system: tetragonal
Mass density: 13.30 g/cm3
VASP energy: -7.832 eV/atom

Unit cell a=3.9382 b=3.9382 c=5.5705 alpha=90.00 beta=90.00 gamma=90.00
Closest atoms and distances in Å follow each position.
Fractional coordinates of all 6 atoms:
Si 0.5000 0.0000 0.7570  2 Co 2.39, 6 Ir 2.39-2.43
Si 0.0000 0.5000 0.2430  6 Ir 2.39-2.43, 2 Co 2.39
Ir 0.5000 0.5000 0.5000  4 Si 2.43
Ir 0.0000 0.0000 0.5000  4 Si 2.43
Ir 0.5000 0.5000 0.0000  4 Si 2.39
Co 0.0000 0.0000 0.0000  4 Si 2.39

=====

11.
Here is CoSiIr after structural relaxation from OQMD via LeMat-Bulk. Energies are from PBE.

Total magnetization: 0.13 μB/f.u.
Crystal system: tetragonal
Mass density: 11.25 g/cm3
VASP energy: -7.451 eV/atom

Unit cell a=3.9042 b=3.9042 c=5.4096 alpha=90.00 beta=90.00 gamma=90.00
Closest atoms and distances in Å follow each position.
Fractional coordinates of all 6 atoms:
Si 0.0000 0.5000 0.2321  4 Co 2.32, 4 Ir 2.43
Si 0.5000 0.0000 0.7679  4 Co 2.32, 4 Ir 2.43
Co 0.0000 0.0000 0.0000  4 Si 2.32
Co 0.5000 0.5000 0.0000  4 Si 2.32
Ir 0.5000 0.5000 0.5000  4 Si 2.43, 2 Co 2.70
Ir 0.0000 0.0000 0.5000  4 Si 2.43, 2 Co 2.70

=====

12.
Here is TaCoSiIr after structural relaxation from OQMD via LeMat-Bulk. Energies are from PBE.

Excess energy over the best structure of this formula in the dataset: 180.2 meV/atom
Total magnetization: 1.26 μB/f.u.
Crystal system: cubic
Mass density: 13.42 g/cm3
VASP energy: -8.431 eV/atom

Unit cell a=4.3181 b=4.3181 c=4.3181 alpha=60.00 beta=60.00 gamma=60.00
Closest atoms and distances in Å follow each position.
Fractional coordinates of all 4 atoms:
Co 0.7500 0.7500 0.7500  4 Ir 2.64, 4 Si 2.64
Ir 0.5000 0.5000 0.5000  4 Ta 2.64, 4 Co 2.64
Si 0.0000 0.0000 0.0000  4 Ta 2.64, 4 Co 2.64
Ta 0.2500 0.2500 0.2500  4 Si 2.64, 4 Ir 2.64

=====

13.
Here is TaCoSiIr after structural relaxation from OQMD via LeMat-Bulk. Energies are from PBE.

Excess energy over the best structure of this formula in the dataset: 0.0 meV/atom
Total magnetization: 1.20 μB/f.u.
Crystal system: cubic
Mass density: 13.57 g/cm3
VASP energy: -8.611 eV/atom

Unit cell a=4.3027 b=4.3027 c=4.3027 alpha=60.00 beta=60.00 gamma=60.00
Closest atoms and distances in Å follow each position.
Fractional coordinates of all 4 atoms:
Co 0.7500 0.7500 0.7500  4 Ta 2.63, 4 Si 2.63
Ta 0.5000 0.5000 0.5000  4 Co 2.63, 4 Ir 2.63
Si 0.0000 0.0000 0.0000  4 Ir 2.63, 4 Co 2.63
Ir 0.2500 0.2500 0.2500  4 Si 2.63, 4 Ta 2.63

=====

14.
Here is Ta2CoSi2Ir after structural relaxation from OQMD via LeMat-Bulk. Energies are from PBE.

Total magnetization: 0.01 μB/f.u.
Crystal system: monoclinic
Mass density: 11.43 g/cm3
VASP energy: -9.073 eV/atom

Unit cell a=7.1047 b=4.0889 c=13.5819 alpha=90.00 beta=99.79 gamma=90.00
Closest atoms and distances in Å follow each position.
Fractional coordinates of all 24 atoms:
Ta 0.4211 0.5000 0.8043  2 Co 2.45, 2 Ir 2.57-2.58
Ta 0.6842 0.5000 0.5568  3 Co 2.47-2.48, 1 Ir 2.56
Ta 0.9416 0.5000 0.3231  1 Co 2.42, 3 Ir 2.54
Ta 0.9514 0.0000 0.8149  2 Co 2.44-2.45, 2 Ir 2.57
Ta 0.4409 0.0000 0.3223  1 Co 2.42, 3 Ir 2.55
Ta 0.1883 0.0000 0.5636  4 Co 2.44-2.49
Ta 0.7002 0.0000 0.0606  1 Co 2.43, 3 Ir 2.56-2.58
Ta 0.1742 0.5000 0.0574  2 Co 2.45, 2 Ir 2.58-2.60
Si 0.5546 0.0000 0.6837  2 Co 2.42-2.47, 2 Ir 2.54
Si 0.3068 0.0000 0.9335  2 Co 2.47-2.51, 2 Ir 2.52, 1 Ta 2.75
Si 0.8169 0.0000 0.4456  3 Co 2.49-2.51, 1 Ir 2.57
Si 0.0645 0.5000 0.6837  3 Co 2.40-2.49, 1 Ir 2.53
Si 0.3134 0.5000 0.4452  3 Co 2.48-2.49, 1 Ir 2.59
Si 0.8171 0.5000 0.9361  2 Co 2.49, 2 Ir 2.52-2.54, 1 Ta 2.78
Si 0.5617 0.5000 0.1862  4 Ir 2.52-2.54
Si 0.0631 0.0000 0.1832  1 Co 2.48, 3 Ir 2.53-2.55
Co 0.4992 0.0000 0.5027  4 Ta 2.42-2.49, 4 Si 2.42-2.51
Co 0.0022 0.5000 0.5042  4 Si 2.40-2.49, 4 Ta 2.42-2.49
Co 0.2471 0.0000 0.7461  4 Ta 2.44-2.45, 4 Si 2.47-2.51
Co 0.0011 0.0000 0.9976  4 Ta 2.43-2.45, 4 Si 2.47-2.49
Ir 0.4981 0.5000 0.9963  4 Si 2.52-2.54, 4 Ta 2.56-2.58
Ir 0.7526 0.0000 0.2534  4 Si 2.54-2.57, 4 Ta 2.54-2.58
Ir 0.7498 0.5000 0.7479  4 Si 2.52-2.54, 4 Ta 2.56-2.58
Ir 0.2500 0.5000 0.2516  4 Si 2.52-2.59, 4 Ta 2.54-2.60

=====

15.
Here is Tb2CoSi4Ir after structural relaxation from OQMD via LeMat-Bulk. Energies are from PBE.

Total magnetization: 0.00 μB/f.u.
Crystal system: orthorhombic
Mass density: 8.23 g/cm3
VASP energy: -6.719 eV/atom

Unit cell a=4.0690 b=8.5253 c=8.5253 alpha=27.71 beta=90.00 gamma=90.00
Closest atoms and distances in Å follow each position.
Fractional coordinates of all 8 atoms:
Tb 0.0000 0.1069 0.1069  10 Si 3.04-3.11, 4 Co 3.12
Tb 0.5000 0.8968 0.8968  10 Si 3.09-3.26, 4 Ir 3.13
Ir 0.0000 0.3228 0.3228  5 Si 2.35-2.43
Si 0.0000 0.4648 0.4648  1 Ir 2.35, 2 Si 2.42
Si 0.5000 0.2431 0.2431  2 Co 2.31, 2 Ir 2.42
Si 0.5000 0.5443 0.5443  1 Co 2.22, 2 Si 2.42
Si 0.0000 0.7428 0.7428  2 Co 2.30, 2 Ir 2.43
Co 0.5000 0.6784 0.6784  5 Si 2.22-2.31

=====

16.
Here is CoSiTcIr after structural relaxation from OQMD via LeMat-Bulk. Energies are from PBE.

Excess energy over the best structure of this formula in the dataset: 0.0 meV/atom
Total magnetization: 0.95 μB/f.u.
Crystal system: cubic
Mass density: 11.89 g/cm3
VASP energy: -7.964 eV/atom

Unit cell a=4.2079 b=4.2079 c=4.2079 alpha=60.00 beta=60.00 gamma=60.00
Closest atoms and distances in Å follow each position.
Fractional coordinates of all 4 atoms:
Ir 0.5000 0.5000 0.5000  4 Tc 2.58, 4 Co 2.58
Tc 0.2500 0.2500 0.2500  4 Ir 2.58, 4 Si 2.58
Co 0.7500 0.7500 0.7500  4 Ir 2.58, 4 Si 2.58
Si 0.0000 0.0000 0.0000  4 Tc 2.58, 4 Co 2.58

=====

17.
Here is YCoSiIr after structural relaxation from OQMD via LeMat-Bulk. Energies are from PBE.

Excess energy over the best structure of this formula in the dataset: 0.0 meV/atom
Total magnetization: 1.00 μB/f.u.
Crystal system: cubic
Mass density: 9.73 g/cm3
VASP energy: -7.331 eV/atom

Unit cell a=4.4618 b=4.4618 c=4.4618 alpha=60.00 beta=60.00 gamma=60.00
Closest atoms and distances in Å follow each position.
Fractional coordinates of all 4 atoms:
Y 0.5000 0.5000 0.5000  4 Co 2.73, 4 Ir 2.73
Si 0.0000 0.0000 0.0000  4 Co 2.73, 4 Ir 2.73
Ir 0.2500 0.2500 0.2500  4 Si 2.73, 4 Y 2.73
Co 0.7500 0.7500 0.7500  4 Y 2.73, 4 Si 2.73

=====

18.
Here is YCoSiIr after structural relaxation from OQMD via LeMat-Bulk. Energies are from PBE.

Excess energy over the best structure of this formula in the dataset: 402.7 meV/atom
Total magnetization: 2.13 μB/f.u.
Crystal system: cubic
Mass density: 9.17 g/cm3
VASP energy: -6.928 eV/atom

Unit cell a=4.5512 b=4.5512 c=4.5512 alpha=60.00 beta=60.00 gamma=60.00
Closest atoms and distances in Å follow each position.
Fractional coordinates of all 4 atoms:
Co 0.7500 0.7500 0.7500  4 Ir 2.79, 4 Si 2.79
Si 0.0000 0.0000 0.0000  4 Y 2.79, 4 Co 2.79
Ir 0.5000 0.5000 0.5000  4 Co 2.79, 4 Y 2.79
Y 0.2500 0.2500 0.2500  4 Si 2.79, 4 Ir 2.79

=====

19.
Here is ZnCoSiIr after structural relaxation from OQMD via LeMat-Bulk. Energies are from PBE.

Excess energy over the best structure of this formula in the dataset: 0.0 meV/atom
Total magnetization: 0.28 μB/f.u.
Crystal system: cubic
Mass density: 11.54 g/cm3
VASP energy: -6.009 eV/atom

Unit cell a=4.1238 b=4.1238 c=4.1238 alpha=60.00 beta=60.00 gamma=60.00
Closest atoms and distances in Å follow each position.
Fractional coordinates of all 4 atoms:
Zn 0.5000 0.5000 0.5000  4 Co 2.53, 4 Ir 2.53
Si 0.0000 0.0000 0.0000  4 Co 2.53, 4 Ir 2.53
Ir 0.2500 0.2500 0.2500  4 Si 2.53, 4 Zn 2.53
Co 0.7500 0.7500 0.7500  4 Si 2.53, 4 Zn 2.53

=====

20.
Here is ZnCoSiIr after structural relaxation from OQMD via LeMat-Bulk. Energies are from PBE.

Excess energy over the best structure of this formula in the dataset: 469.0 meV/atom
Total magnetization: 0.94 μB/f.u.
Crystal system: cubic
Mass density: 11.00 g/cm3
VASP energy: -5.540 eV/atom

Unit cell a=4.1908 b=4.1908 c=4.1908 alpha=60.00 beta=60.00 gamma=60.00
Closest atoms and distances in Å follow each position.
Fractional coordinates of all 4 atoms:
Si 0.0000 0.0000 0.0000  4 Co 2.57, 4 Zn 2.57
Zn 0.2500 0.2500 0.2500  4 Ir 2.57, 4 Si 2.57
Ir 0.5000 0.5000 0.5000  4 Zn 2.57, 4 Co 2.57
Co 0.7500 0.7500 0.7500  4 Si 2.57, 4 Ir 2.57